VASP calculation (GGA+U) on crystalline Ac3VO7 at its relaxed geometry.

The structure in extended XYZ format:
```
22
Lattice="6.854 0.000 0.000 0.000 8.192 0.000 -2.228 0.000 6.509" Properties=species:S:1:pos:R:3 pbc="T T T"
Ac -1.036 0.000 3.078
Ac 2.162 6.065 3.042
Ac 3.235 3.957 0.010
Ac 1.391 8.053 6.499
Ac 2.464 1.969 3.467
Ac 5.662 4.096 3.431
V -2.151 2.244 6.456
V 6.777 6.340 0.052
O -0.327 2.230 1.758
O -1.757 3.906 6.176
O -0.204 5.940 2.035
O 1.825 1.702 0.215
O 1.896 6.215 0.478
O 1.113 4.018 4.117
O 1.156 8.110 4.095
O 3.470 4.014 2.414
O 3.513 8.114 2.392
O 2.730 2.119 6.030
O 2.800 5.798 6.294
O 4.830 1.844 4.474
O 6.382 8.002 0.333
O 4.953 6.326 4.751
```

## Properties
As for the density: 7.67 g/cm³. Its calculated total energy is -173.45 eV per cell. The calculation puts the total magnetization at 0.0000 μB per atom.